Entry 1:
The following is a PBE-GGA calculation of Li2VCo after structural relaxation, from Alexandria.

Structure (POSCAR):
```
Li2VCo
1.0
-3.407 3.407 2.314
3.407 -3.407 2.314
3.407 3.407 -2.314
Li V Co
4 2 2
Direct
0.103 0.625 0.978
0.375 0.353 0.478
0.647 0.125 0.022
0.875 0.897 0.522
0.250 0.750 0.500
0.500 0.500 0.000
0.000 0.000 0.000
0.750 0.250 0.500
```

distance to the lowest polymorph of the same formula	0	meV per atom

***

Entry 2:
The following is a PBE-GGA calculation of LiVCo2 after structural relaxation, from Alexandria.

Structure (POSCAR):
```
LiVCo2
1.0
-3.103 3.103 2.551
3.103 -3.103 2.551
3.103 3.103 -2.551
Li V Co
2 2 4
Direct
0.000 0.000 0.000
0.750 0.250 0.500
0.250 0.750 0.500
0.500 0.500 0.000
0.146 0.625 0.021
0.375 0.396 0.521
0.604 0.125 0.979
0.875 0.854 0.479
```

***

Entry 3:
The following is a PBE-GGA calculation of LiV2Co2 after structural relaxation, from Alexandria.

Structure (POSCAR):
```
LiV2Co2
1.0
7.059 0.000 0.000
0.000 7.059 0.000
0.000 0.000 2.553
Li V Co
2 4 4
Direct
0.000 0.000 0.000
0.500 0.500 0.000
0.152 0.348 0.000
0.348 0.848 0.000
0.652 0.152 0.000
0.848 0.652 0.000
0.142 0.642 0.500
0.358 0.142 0.500
0.642 0.858 0.500
0.858 0.358 0.500
```

distance to the lowest polymorph of the same formula	33	meV per atom

***

Computed E_form, in the same sequence as the records: 0.665; 0.372; 0.030 eV per atom.
Computed raw total energy, in the same sequence as the records: -34.785; -47.512; -68.427 eV for the cell shown.